[1]
A relaxed structure of Sr4MgCd2, computed with GGA-PBE.

Output
- Magnetization: 0.00 μB/cell
- ΔE_f: -0.13 eV/atom
- Space group: I4/mmm, No. 139

Cell: 7.099 7.099 7.099 Å, 109.97 109.97 108.47°
Fractional coordinates of all 7 atoms:
Sr (0.000, 0.000, 0.500)
Sr (0.000, 0.500, 0.000)
Sr (0.500, 0.000, 0.000)
Sr (0.500, 0.500, 0.500)
Mg (0.000, 0.000, 0.000)
Cd (0.000, 0.500, 0.500)
Cd (0.500, 0.000, 0.500)

[2]
A relaxed structure of NdTm2Zn, computed with GGA-PBE.

Output
- Magnetization: 0.00 μB/cell
- ΔE_f: -0.17 eV/atom
- Space group: P4/mmm, No. 123
- Energy above the lowest structure with this stoichiometry: 0 meV per atom

Cell: 3.543 3.543 8.714 Å, 90.00 90.00 90.00°
Fractional coordinates of all 4 atoms:
Nd (0.000, 0.000, 0.000)
Tm (0.500, 0.500, 0.300)
Tm (0.500, 0.500, 0.700)
Zn (0.000, 0.000, 0.500)

[3]
A relaxed structure of SrSCl2O, computed with GGA-PBE.

Output
- Magnetization: 4.02 μB/cell
- Raw formation energy: -0.18 eV/atom
- Space group: P4/mmm, No. 123
- Energy above the lowest structure with this stoichiometry: 477 meV per atom

Cell: 5.627 5.627 6.233 Å, 90.00 90.00 90.00°
Fractional coordinates of all 5 atoms:
Sr (0.000, 0.000, 0.000)
S (0.000, 0.000, 0.500)
Cl (0.000, 0.500, 0.000)
Cl (0.500, 0.000, 0.000)
O (0.500, 0.500, 0.500)

[4]
A relaxed structure of Ce2Zn4Ga3Cu, computed with GGA-PBE.

Output
- Magnetization: 1.22 μB/cell
- ΔE_f: -0.37 eV/atom
- Space group: P-4m2, No. 115

Cell: 4.251 4.251 10.387 Å, 90.00 90.00 90.00°
Fractional coordinates of all 10 atoms:
Ce (0.000, 0.500, 0.247)
Ce (0.500, 0.000, 0.753)
Zn (0.000, 0.000, 0.500)
Zn (0.000, 0.500, 0.873)
Zn (0.500, 0.000, 0.127)
Zn (0.500, 0.500, 0.500)
Ga (0.000, 0.000, 0.000)
Ga (0.000, 0.500, 0.639)
Ga (0.500, 0.000, 0.361)
Cu (0.500, 0.500, 0.000)

[5]
A relaxed structure of LiPd6Au3, computed with GGA-PBE.

Output
- Magnetization: 0.00 μB/cell
- ΔE_f: -0.07 eV/atom
- Space group: P2_1/m, No. 11
- Energy above the lowest structure with this stoichiometry: 59 meV per atom

Cell: 10.438 2.772 12.095 Å, 90.00 112.57 90.00°
Fractional coordinates of all 20 atoms:
Li (0.078, 0.250, 0.189)
Li (0.922, 0.750, 0.811)
Pd (0.043, 0.750, 0.405)
Pd (0.119, 0.250, 0.991)
Pd (0.151, 0.750, 0.789)
Pd (0.265, 0.250, 0.393)
Pd (0.315, 0.750, 0.210)
Pd (0.434, 0.750, 0.805)
Pd (0.566, 0.250, 0.195)
Pd (0.685, 0.250, 0.790)
Pd (0.735, 0.750, 0.607)
Pd (0.849, 0.250, 0.211)
Pd (0.881, 0.750, 0.009)
Pd (0.957, 0.250, 0.595)
Au (0.228, 0.250, 0.614)
Au (0.368, 0.750, 0.005)
Au (0.468, 0.750, 0.594)
Au (0.532, 0.250, 0.406)
Au (0.632, 0.250, 0.995)
Au (0.772, 0.750, 0.386)

[6]
A relaxed structure of Ba2HfCr, computed with GGA-PBE.

Output
- Magnetization: 0.00 μB/cell
- ΔE_f: 1.49 eV/atom
- Space group: Fm-3m, No. 225
- Energy above the lowest structure with this stoichiometry: 507 meV per atom

Cell: 5.515 5.515 5.515 Å, 60.00 60.00 60.00°
Fractional coordinates of all 4 atoms:
Ba (0.250, 0.250, 0.250)
Ba (0.750, 0.750, 0.750)
Hf (0.000, 0.000, 0.000)
Cr (0.500, 0.500, 0.500)

[7]
A relaxed structure of LiTaIr4, computed with GGA-PBE.

Output
- Magnetization: 0.00 μB/cell
- ΔE_f: -0.15 eV/atom
- Space group: F-43m, No. 216

Cell: 5.144 5.144 5.144 Å, 60.00 60.00 60.00°
Fractional coordinates of all 6 atoms:
Li (0.000, 0.000, 0.000)
Ta (0.250, 0.250, 0.250)
Ir (0.124, 0.625, 0.625)
Ir (0.625, 0.124, 0.625)
Ir (0.625, 0.625, 0.124)
Ir (0.625, 0.625, 0.625)

[8]
A relaxed structure of Sc2CdCuAg, computed with GGA-PBE.

Output
- Magnetization: 0.00 μB/cell
- ΔE_f: 0.43 eV/atom
- Space group: P4/mmm, No. 123
- Energy above the lowest structure with this stoichiometry: 217 meV per atom

Cell: 5.159 5.159 4.730 Å, 90.00 90.00 90.00°
Fractional coordinates of all 5 atoms:
Sc (0.000, 0.500, 0.000)
Sc (0.500, 0.000, 0.000)
Cd (0.000, 0.000, 0.500)
Cu (0.500, 0.500, 0.500)
Ag (0.500, 0.500, 0.000)

[9]
A relaxed structure of RbCO2, computed with GGA-PBE.

Output
- Magnetization: 0.12 μB/cell
- Raw formation energy: -1.53 eV/atom
- Space group: P2_1/c, No. 14

Cell: 6.983 6.795 6.510 Å, 90.00 113.24 90.00°
Fractional coordinates of all 16 atoms:
Rb (0.219, 0.040, 0.339)
Rb (0.219, 0.460, 0.839)
Rb (0.781, 0.540, 0.161)
Rb (0.781, 0.960, 0.661)
C (0.402, 0.542, 0.400)
C (0.402, 0.958, 0.900)
C (0.598, 0.042, 0.100)
C (0.598, 0.458, 0.600)
O (0.224, 0.030, 0.869)
O (0.224, 0.470, 0.369)
O (0.434, 0.676, 0.282)
O (0.434, 0.824, 0.782)
O (0.566, 0.176, 0.218)
O (0.566, 0.324, 0.718)
O (0.776, 0.530, 0.631)
O (0.776, 0.970, 0.131)

[10]
A relaxed structure of Nd6Ge2C, computed with GGA-PBE.

Output
- Magnetization: 0.00 μB/cell
- ΔE_f: -0.44 eV/atom
- Space group: P2_1/c, No. 14

Cell: 6.433 8.100 11.414 Å, 90.00 122.17 90.00°
Fractional coordinates of all 18 atoms:
Nd (0.114, 0.159, 0.446)
Nd (0.114, 0.341, 0.946)
Nd (0.309, 0.707, 0.447)
Nd (0.309, 0.793, 0.947)
Nd (0.364, 0.035, 0.248)
Nd (0.364, 0.465, 0.748)
Nd (0.636, 0.535, 0.252)
Nd (0.636, 0.965, 0.752)
Nd (0.691, 0.207, 0.053)
Nd (0.691, 0.293, 0.553)
Nd (0.886, 0.659, 0.054)
Nd (0.886, 0.841, 0.554)
Ge (0.189, 0.113, 0.758)
Ge (0.189, 0.387, 0.258)
Ge (0.811, 0.613, 0.742)
Ge (0.811, 0.887, 0.242)
C (0.500, 0.000, 0.500)
C (0.500, 0.500, 0.000)

[11]
A relaxed structure of LaCrTe2, computed with GGA-PBE.

Output
- Magnetization: 4.63 μB/cell
- Raw formation energy: -0.73 eV/atom
- Space group: R-3m, No. 166
- Energy above the lowest structure with this stoichiometry: 50 meV per atom

Cell: 7.258 7.258 7.258 Å, 36.15 36.15 36.15°
Fractional coordinates of all 4 atoms:
La (0.000, 0.000, 0.000)
Cr (0.500, 0.500, 0.500)
Te (0.239, 0.239, 0.239)
Te (0.761, 0.761, 0.761)

[12]
A relaxed structure of Hg4Te2P, computed with GGA-PBE.

Output
- Magnetization: 0.00 μB/cell
- Raw formation energy: 0.11 eV/atom
- Space group: I4/mmm, No. 139

Cell: 8.165 8.165 8.165 Å, 141.84 141.84 55.06°
Fractional coordinates of all 7 atoms:
Hg (0.000, 0.500, 0.500)
Hg (0.179, 0.179, 0.000)
Hg (0.500, 0.000, 0.500)
Hg (0.821, 0.821, 0.000)
Te (0.367, 0.367, 0.000)
Te (0.633, 0.633, 0.000)
P (0.000, 0.000, 0.000)